A plane-wave DFT calculation with PBE was carried out for a relaxed structure of CaTl2In.

Unit cell a=10.587 b=10.587 c=10.587 alpha=20.06 beta=20.06 gamma=20.06
Positions (direct):
Ca  0.000  0.000  0.000
Tl  0.502  0.502  0.502
Tl  0.749  0.749  0.749
In  0.252  0.252  0.252

Energy of formation (meV per atom): -107
Size of the total moment (μB per cell): 0.00
Raw total energy (eV per atom): -2.48